[1]
A relaxed structure of Zr2InTc. Source: Alexandria via LeMat-Bulk, functional GGA-PBE.

The structure belongs to space group Imm2 (No. 44); the cell edges are 3.418, 4.800 and 9.924 Å and the angles 90.00°, 90.00° and 90.00°. Symmetry generates all atoms from Zr at (0.000, 0.000, 0.000), Zr at (0.000, 0.500, 0.224), In at (0.000, 0.000, 0.448) and Tc at (0.000, 0.500, 0.714).

Its crystal system is orthorhombic. Its formation energy is -180 meV/atom. The calculation puts the total magnetization at 0.0 μB per cell. For the density of states at the Fermi level, the calculation gives 3.63 states/eV/f.u. The calculation puts the total energy at -7.7305 eV/atom. The value obtained for the energy above the lowest structure with this stoichiometry is 0.1942 eV/atom.

[2]
A relaxed structure of RbBa2Ge2. Source: Alexandria via LeMat-Bulk, functional GGA-PBE.

The structure belongs to space group P4/mbm (No. 127); the cell edges are 9.034, 9.034 and 4.783 Å and the angles 90.00°, 90.00° and 90.00°. Symmetry generates all atoms from Rb at (0.000, 0.000, 0.000), Ba at (0.173, 0.327, 0.500) and Ge at (0.098, 0.598, 0.000).

Its crystal system is tetragonal. Its formation energy is -309 meV/atom. The calculation puts the total magnetization at 0.0 μB per cell. For the density of states at the Fermi level, the calculation gives 4.57 states/eV/f.u. The calculation puts the total energy at -3.1188 eV/atom. The value obtained for the energy above the lowest structure with this stoichiometry is 0.0000 eV/atom.

[3]
A relaxed structure of Tm3Al7Ni4. Source: Alexandria via LeMat-Bulk, functional GGA-PBE.

The structure belongs to space group C2/m (No. 12); the cell edges are 15.100, 4.060 and 9.250 Å and the angles 90.00°, 124.80° and 90.00°. Symmetry generates all atoms from Tm at (0.000, 0.000, 0.000), Tm at (0.193, 0.500, 0.698), Al at (0.000, 0.000, 0.500), Al at (0.006, 0.500, 0.288), Al at (0.158, 0.000, 0.422), Al at (0.182, 0.500, 0.022), Ni at (0.115, 0.000, 0.834) and Ni at (0.164, 0.500, 0.279).

Its crystal system is monoclinic. Its formation energy is -606 meV/atom. The calculation puts the total magnetization at 0.0 μB per cell. For the density of states at the Fermi level, the calculation gives 6.92 states/eV/f.u. The calculation puts the total energy at -5.0870 eV/atom.

[4]
A relaxed structure of SbSeBr2F. Source: Alexandria via LeMat-Bulk, functional GGA-PBE.

The structure belongs to space group P4/mmm (No. 123); the cell edges are 5.617, 5.617 and 3.918 Å and the angles 90.00°, 90.00° and 90.00°. Symmetry generates all atoms from Sb at (0.000, 0.000, 0.000), Se at (0.500, 0.500, 0.000), Br at (0.000, 0.500, 0.500) and F at (0.500, 0.500, 0.500).

Its crystal system is tetragonal. The calculation puts the total magnetization at 0.6 μB per cell. For the density of states at the Fermi level, the calculation gives 4.16 states/eV/f.u. The calculation puts the total energy at -2.4498 eV/atom. The formation energy (no corrections) is 0.575 eV per formula unit. The value obtained for the energy above the lowest structure with this stoichiometry is 0.1164 eV/atom.

[5]
A relaxed structure of MgTi2ZnO. Source: Alexandria via LeMat-Bulk, functional GGA-PBE.

The structure belongs to space group P4/mmm (No. 123); the cell edges are 4.109, 4.109 and 4.222 Å and the angles 90.00°, 90.00° and 90.00°. Symmetry generates all atoms from Mg at (0.000, 0.000, 0.000), Ti at (0.000, 0.500, 0.500), Zn at (0.500, 0.500, 0.000) and O at (0.000, 0.000, 0.500).

Its crystal system is tetragonal. The calculation puts the total magnetization at 0.0 μB per cell. For the density of states at the Fermi level, the calculation gives 3.37 states/eV/f.u. The calculation puts the total energy at -5.7180 eV/atom. The formation energy (no corrections) is -4.973 eV per formula unit.

[6]
A relaxed structure of NaSnI2. Source: Alexandria via LeMat-Bulk, functional GGA-PBE.

The structure belongs to space group P1 (No. 1); the cell edges are 6.311, 6.312 and 8.036 Å and the angles 84.06°, 84.10° and 87.53°. Symmetry generates all atoms from Na at (0.000, 0.000, 0.000), Na at (0.254, 0.254, 0.475), Sn at (0.532, 0.533, 0.092), Sn at (0.663, 0.665, 0.722), I at (0.005, 0.487, 0.155), I at (0.197, 0.730, 0.652), I at (0.487, 0.006, 0.155) and I at (0.727, 0.200, 0.652).

Its crystal system is triclinic. The calculation puts the total magnetization at 0.0 μB per cell. The calculation puts the total energy at -2.7619 eV/atom. The formation energy (no corrections) is -2.625 eV per formula unit. The value obtained for the energy above the lowest structure with this stoichiometry is 0.0389 eV/atom.

[7]
A relaxed structure of ZrNb2ReAs. Source: Alexandria via LeMat-Bulk, functional GGA-PBE.

The structure belongs to space group P4/mmm (No. 123); the cell edges are 4.973, 4.973 and 4.594 Å and the angles 90.00°, 90.00° and 90.00°. Symmetry generates all atoms from Zr at (0.000, 0.000, 0.000), Nb at (0.000, 0.500, 0.500), Re at (0.500, 0.500, 0.500) and As at (0.500, 0.500, 0.000).

Its crystal system is tetragonal. Its formation energy is 889 meV/atom. The calculation puts the total magnetization at 0.0 μB per cell. For the density of states at the Fermi level, the calculation gives 6.18 states/eV/f.u. The calculation puts the total energy at -8.2677 eV/atom.

[8]
A relaxed structure of La5TmSc. Source: Alexandria via LeMat-Bulk, functional GGA-PBE.

The structure belongs to space group Immm (No. 71); the cell edges are 5.886, 8.999 and 12.085 Å and the angles 90.00°, 90.00° and 90.00°. Symmetry generates all atoms from La at (0.000, 0.000, 0.000), La at (0.000, 0.175, 0.500), La at (0.000, 0.500, 0.247), Tm at (0.000, 0.500, 0.500) and Sc at (0.000, 0.500, 0.000).

Its crystal system is orthorhombic. Its formation energy is 863 meV/atom. The calculation puts the total magnetization at 0.0 μB per cell. For the density of states at the Fermi level, the calculation gives 15.58 states/eV/f.u. The calculation puts the total energy at -4.2002 eV/atom.

What did the fourth record say?
A relaxed structure of SbSeBr2F. Source: Alexandria via LeMat-Bulk, functional GGA-PBE.

The structure belongs to space group P4/mmm (No. 123); the cell edges are 5.617, 5.617 and 3.918 Å and the angles 90.00°, 90.00° and 90.00°. Symmetry generates all atoms from Sb at (0.000, 0.000, 0.000), Se at (0.500, 0.500, 0.000), Br at (0.000, 0.500, 0.500) and F at (0.500, 0.500, 0.500).

Its crystal system is tetragonal. The calculation puts the total magnetization at 0.6 μB per cell. For the density of states at the Fermi level, the calculation gives 4.16 states/eV/f.u. The calculation puts the total energy at -2.4498 eV/atom. The formation energy (no corrections) is 0.575 eV per formula unit. The value obtained for the energy above the lowest structure with this stoichiometry is 0.1164 eV/atom.